Record 1
Entry from the Alexandria database: an optimized crystal structure of SbBr5 (PBE).

Lattice parameters (Å, degrees): 5.5502 5.5502 8.6729 90.00 90.00 120.00
Closest atoms and distances in Å follow each position.
Positions (direct):
Sb 0.0000 0.0000 0.0000  6 Br 3.20
Br 0.3333 0.6667 0.0000  3 Br 3.20, 3 Sb 3.20
Br 0.6667 0.3333 0.0000  3 Br 3.20, 3 Sb 3.20
Br 0.5000 0.0000 0.5000  4 Br 2.78
Br 0.0000 0.5000 0.5000  4 Br 2.78
Br 0.5000 0.5000 0.5000  4 Br 2.78

Values from the calculation:
Energy relative to the elements, uncorrected = 183 meV/atom
Spin magnetization = 0.90 μB per formula unit
Energy = -0.140 Ry per atom

---

Record 2
Entry from the Alexandria database: an optimized crystal structure of BaHgSCl2 (PBE).

Lattice parameters (Å, degrees): 5.9758 5.9758 6.6760 90.00 90.00 90.00
Closest atoms and distances in Å follow each position.
Positions (direct):
S 0.0000 0.0000 0.5000  2 Ba 3.34
Cl 0.0000 0.5000 0.0000  2 Ba 2.99
Cl 0.5000 0.0000 0.0000  2 Ba 2.99
Hg 0.5000 0.5000 0.5000  4 S 4.23, 8 Cl 4.48
Ba 0.0000 0.0000 0.0000  4 Cl 2.99, 2 S 3.34

Values from the calculation:
Polymorph energy (0 for the lowest one) = 0.366 eV/atom
Energy relative to the elements, uncorrected = -793 meV/atom
Spin magnetization = 2.05 μB per formula unit
Energy = -0.206 Ry per atom

---

Record 3
Entry from the Alexandria database: an optimized crystal structure of ErHf3C (PBE).

Lattice parameters (Å, degrees): 4.6407 4.6407 4.6407 90.00 90.00 90.00
Closest atoms and distances in Å follow each position.
Positions (direct):
C 0.0000 0.0000 0.0000  6 Hf 2.32
Hf 0.0000 0.5000 0.0000  2 C 2.32
Hf 0.0000 0.0000 0.5000  2 C 2.32
Hf 0.5000 0.0000 0.0000  2 C 2.32
Er 0.5000 0.5000 0.5000  12 Hf 3.28

Values from the calculation:
Calculated formation energy = -0.154 eV/atom
Spin magnetization = 0.00 μB per formula unit
Energy = -0.653 Ry per atom

---

Record 4
Entry from the Alexandria database: an optimized crystal structure of Ti3AlMo3 (PBE).

Lattice parameters (Å, degrees): 7.0533 7.0533 6.9181 59.35 59.35 60.00
Closest atoms and distances in Å follow each position.
Positions (direct):
Ti 0.2839 0.4289 0.3581  3 Mo 2.60-2.67, 2 Ti 2.87, 1 Al 2.88
Ti 0.9291 0.2839 0.3581  3 Mo 2.60-2.67, 2 Ti 2.87, 1 Al 2.88
Ti 0.4289 0.9291 0.3581  3 Mo 2.60-2.67, 2 Ti 2.87, 1 Al 2.88
Ti 0.5711 0.0709 0.6419  3 Mo 2.60-2.67, 2 Ti 2.87, 1 Al 2.88
Ti 0.0709 0.7161 0.6419  3 Mo 2.60-2.67, 2 Ti 2.87, 1 Al 2.88
Ti 0.7161 0.5711 0.6419  3 Mo 2.60-2.67, 2 Ti 2.87, 1 Al 2.88
Al 0.6530 0.6530 0.0411  6 Mo 2.85-2.99, 6 Ti 2.88-2.97
Al 0.3470 0.3470 0.9589  6 Mo 2.85-2.99, 6 Ti 2.88-2.97
Mo 0.2954 0.8206 0.8278  2 Mo 2.55, 3 Ti 2.60-2.67, 1 Al 2.85
Mo 0.8206 0.0562 0.8278  2 Mo 2.55, 3 Ti 2.60-2.67, 1 Al 2.85
Mo 0.0562 0.2954 0.8278  2 Mo 2.55, 3 Ti 2.60-2.67, 1 Al 2.85
Mo 0.9438 0.7046 0.1722  2 Mo 2.55, 3 Ti 2.60-2.67, 1 Al 2.85
Mo 0.1794 0.9438 0.1722  2 Mo 2.55, 3 Ti 2.60-2.67, 1 Al 2.85
Mo 0.7046 0.1794 0.1722  2 Mo 2.55, 3 Ti 2.60-2.67, 1 Al 2.85

Values from the calculation:
Calculated formation energy = 0.178 eV/atom
Spin magnetization = 0.00 μB per formula unit
Energy = -0.616 Ry per atom

---

Record 5
Entry from the Alexandria database: an optimized crystal structure of ScTl2Cu2S4 (PBE).

Lattice parameters (Å, degrees): 3.7611 7.6397 7.2813 107.05 104.97 90.00
Closest atoms and distances in Å follow each position.
Positions (direct):
Sc 0.0000 0.0000 0.0000  6 S 2.61-2.66
Tl 0.1333 0.5559 0.2666  7 S 3.25-3.37, 1 Tl 3.58
Tl 0.8667 0.4441 0.7334  7 S 3.25-3.37, 1 Tl 3.58
Cu 0.6796 0.9857 0.3592  4 S 2.31-2.40
Cu 0.3204 0.0143 0.6408  4 S 2.31-2.40
S 0.1955 0.1689 0.3911  3 Cu 2.31-2.40
S 0.8045 0.8311 0.6089  3 Cu 2.31-2.40
S 0.5207 0.7779 0.0415  1 Cu 2.32
S 0.4793 0.2221 0.9585  1 Cu 2.32

Values from the calculation:
Energy relative to the elements, uncorrected = -749 meV/atom
Spin magnetization = 0.00 μB per formula unit
Energy = -0.347 Ry per atom

---

Record 6
Entry from the Alexandria database: an optimized crystal structure of La2Dy2Cd (PBE).

Lattice parameters (Å, degrees): 5.2047 5.2047 13.4516 101.15 101.15 90.00
Closest atoms and distances in Å follow each position.
Positions (direct):
La 0.8230 0.8230 0.6459  2 Cd 3.22
La 0.5730 0.0730 0.1459  2 Cd 3.22
La 0.9270 0.4270 0.8541  2 Cd 3.22
La 0.1770 0.1770 0.3541  2 Cd 3.22
Dy 0.4223 0.9223 0.8446  2 Cd 3.29, 2 Dy 3.57, 6 La 3.66-3.68
Dy 0.6723 0.6723 0.3446  2 Cd 3.29, 2 Dy 3.57, 6 La 3.66-3.68
Dy 0.3277 0.3277 0.6554  2 Cd 3.29, 2 Dy 3.57, 6 La 3.66-3.68
Dy 0.0777 0.5777 0.1554  2 Cd 3.29, 2 Dy 3.57, 6 La 3.66-3.68
Cd 0.5000 0.5000 0.0000  4 La 3.22, 4 Dy 3.29
Cd 0.2500 0.7500 0.5000  4 La 3.22, 4 Dy 3.29

Values from the calculation:
Polymorph energy (0 for the lowest one) = 0.183 eV/atom
Calculated formation energy = 0.072 eV/atom
Spin magnetization = 0.00 μB per formula unit
Energy = -0.288 Ry per atom

---

Record 7
Entry from the Alexandria database: an optimized crystal structure of ReAg2PC (PBE).

Lattice parameters (Å, degrees): 4.6632 4.5117 4.6632 90.00 90.00 90.00
Closest atoms and distances in Å follow each position.
Positions (direct):
Re 0.0000 0.5000 0.0000  2 P 2.26
C 0.5000 0.5000 0.5000  8 Ag 3.24, 4 Re 3.30
Ag 0.0000 0.0000 0.5000  2 P 2.33
Ag 0.5000 0.0000 0.0000  2 P 2.33
P 0.0000 0.0000 0.0000  2 Re 2.26, 4 Ag 2.33

Values from the calculation:
Calculated formation energy = 1.992 eV/atom
Spin magnetization = 2.26 μB per formula unit
Energy = -0.335 Ry per atom

---

Record 8
Entry from the Alexandria database: an optimized crystal structure of La3Ho2Tl3 (PBE).

Lattice parameters (Å, degrees): 6.7696 9.3561 9.3561 120.00 90.00 90.00
Closest atoms and distances in Å follow each position.
Positions (direct):
La 0.7500 0.2433 0.0000  3 Tl 3.29-3.30
La 0.7500 0.7567 0.7567  3 Tl 3.29-3.30
La 0.7500 0.0000 0.2433  3 Tl 3.29-3.30
La 0.2500 0.7567 0.0000  3 Tl 3.29-3.30
La 0.2500 0.2433 0.2433  3 Tl 3.29-3.30
La 0.2500 0.0000 0.7567  3 Tl 3.29-3.30
Ho 0.0000 0.3333 0.6667  6 Tl 3.31, 2 Ho 3.38
Ho 0.5000 0.6667 0.3333  6 Tl 3.31, 2 Ho 3.38
Ho 0.0000 0.6667 0.3333  6 Tl 3.31, 2 Ho 3.38
Ho 0.5000 0.3333 0.6667  6 Tl 3.31, 2 Ho 3.38
Tl 0.7500 0.5951 0.0000  3 La 3.29-3.30, 4 Ho 3.31
Tl 0.7500 0.4049 0.4049  3 La 3.29-3.30, 4 Ho 3.31
Tl 0.7500 0.0000 0.5951  3 La 3.29-3.30, 4 Ho 3.31
Tl 0.2500 0.4049 0.0000  3 La 3.29-3.30, 4 Ho 3.31
Tl 0.2500 0.5951 0.5951  3 La 3.29-3.30, 4 Ho 3.31
Tl 0.2500 0.0000 0.4049  3 La 3.29-3.30, 4 Ho 3.31

Values from the calculation:
Polymorph energy (0 for the lowest one) = 0.000 eV/atom
Calculated formation energy = -0.319 eV/atom
Spin magnetization = 0.00 μB per formula unit
Energy = -0.309 Ry per atom

---

Record 9
Entry from the Alexandria database: an optimized crystal structure of CdBi3Pd (PBE).

Lattice parameters (Å, degrees): 6.7037 9.5517 9.5517 87.15 109.04 109.04
Closest atoms and distances in Å follow each position.
Positions (direct):
Cd 0.8044 0.5906 0.1685  2 Pd 2.90-2.91, 2 Bi 3.16-3.23
Cd 0.6956 0.8315 0.4094  2 Pd 2.90-2.91, 2 Bi 3.16-3.23
Cd 0.1956 0.4094 0.8315  2 Pd 2.90-2.91, 2 Bi 3.16-3.23
Cd 0.3044 0.1685 0.5906  2 Pd 2.90-2.91, 2 Bi 3.16-3.23
Bi 0.6719 0.3510 0.9085  2 Pd 2.89-2.90, 1 Cd 3.16
Bi 0.8281 0.0915 0.6490  2 Pd 2.89-2.90, 1 Cd 3.16
Bi 0.3281 0.6490 0.0915  2 Pd 2.89-2.90, 1 Cd 3.16
Bi 0.1719 0.9085 0.3510  2 Pd 2.89-2.90, 1 Cd 3.16
Bi 0.9790 0.8304 0.9248  2 Pd 2.88-2.92
Bi 0.5210 0.0752 0.1696  2 Pd 2.88-2.92
Bi 0.0210 0.1696 0.0752  2 Pd 2.88-2.92
Bi 0.4790 0.9248 0.8304  2 Pd 2.88-2.92
Bi 0.4258 0.3893 0.3408  2 Pd 2.92-2.95, 1 Cd 3.23, 1 Bi 3.24
Bi 0.0742 0.6592 0.6107  2 Pd 2.92-2.95, 1 Cd 3.23, 1 Bi 3.24
Bi 0.5742 0.6107 0.6592  2 Pd 2.92-2.95, 1 Cd 3.23, 1 Bi 3.24
Bi 0.9258 0.3408 0.3893  2 Pd 2.92-2.95, 1 Cd 3.23, 1 Bi 3.24
Pd 0.2500 0.1205 0.8795  6 Bi 2.88-2.92, 2 Cd 2.90
Pd 0.7500 0.8795 0.1205  6 Bi 2.88-2.92, 2 Cd 2.90
Pd 0.2500 0.6267 0.3733  6 Bi 2.89-2.95, 2 Cd 2.91
Pd 0.7500 0.3733 0.6267  6 Bi 2.89-2.95, 2 Cd 2.91

Values from the calculation:
Polymorph energy (0 for the lowest one) = 0.000 eV/atom
Calculated formation energy = -0.131 eV/atom
Spin magnetization = 0.00 μB per formula unit
Energy = -0.271 Ry per atom

---

Record 10
Entry from the Alexandria database: an optimized crystal structure of NdPuAgIr (PBE).

Lattice parameters (Å, degrees): 5.0683 5.0683 5.0683 60.00 60.00 60.00
Closest atoms and distances in Å follow each position.
Positions (direct):
Ir 0.7500 0.7500 0.7500  4 Nd 3.10, 4 Pu 3.10
Nd 0.5000 0.5000 0.5000  4 Ag 3.10, 4 Ir 3.10
Ag 0.2500 0.2500 0.2500  4 Pu 3.10, 4 Nd 3.10
Pu 0.0000 0.0000 0.0000  4 Ir 3.10, 4 Ag 3.10

Values from the calculation:
Calculated formation energy = -0.277 eV/atom
Spin magnetization = 5.69 μB per formula unit
Energy = -0.587 Ry per atom